No. 1
Zr2MnCo at its PBEsol-relaxed geometry, computed with meta-GGA SCAN.

Structure (CIF):
```
data_Zr2MnCo
_cell_length_a 3.1430
_cell_length_b 3.1430
_cell_length_c 6.2102
_cell_angle_alpha 90.00
_cell_angle_beta 90.00
_cell_angle_gamma 90.00
_space_group_name_H-M_alt 'P 4/m m m'
_space_group_IT_number 123
_space_group_name_Hall '-P 4 2'
loop_
_atom_site_label
_atom_site_type_symbol
_atom_site_fract_x
_atom_site_fract_y
_atom_site_fract_z
_atom_site_occupancy
Zr1 Zr 0.0000 0.0000 0.2475 1
Mn1 Mn 0.5000 0.5000 0.0000 1
Co1 Co 0.5000 0.5000 0.5000 1
```

Computed properties:
Calculated formation energy: -0.24 eV/atom
Total moment: 0.53 μB/cell
Total DFT energy (no corrections): -97.9 eV for the cell shown

***

No. 2
LaIn2Sb at its PBEsol-relaxed geometry, computed with meta-GGA SCAN.

Structure (CIF):
```
data_LaIn2Sb
_cell_length_a 3.3760
_cell_length_b 3.3760
_cell_length_c 9.5687
_cell_angle_alpha 90.00
_cell_angle_beta 90.00
_cell_angle_gamma 90.00
_space_group_name_H-M_alt 'P 4 m m'
_space_group_IT_number 99
loop_
_space_group_symop_operation_xyz
'x,y,z'
'-y,x,z'
'-x,-y,z'
'y,-x,z'
'-x,y,z'
'y,x,z'
'x,-y,z'
'-y,-x,z'
loop_
_atom_site_label
_atom_site_type_symbol
_atom_site_fract_x
_atom_site_fract_y
_atom_site_fract_z
_atom_site_occupancy
La1 La 0.0000 0.0000 0.0000 1
In1 In 0.0000 0.0000 0.5118 1
In2 In 0.5000 0.5000 0.7441 1
Sb1 Sb 0.5000 0.5000 0.2463 1
```

Computed properties:
Total moment: 0.00 μB/cell
Energy relative to the elements, uncorrected: -288 meV per atom
Total DFT energy (no corrections): -148.3 eV for the cell shown

***

No. 3
NbGa3Pt at its PBEsol-relaxed geometry, computed with meta-GGA SCAN.

Structure (CIF):
```
data_NbGa3Pt
_cell_length_a 4.6768
_cell_length_b 4.6768
_cell_length_c 4.6768
_cell_angle_alpha 90.00
_cell_angle_beta 90.00
_cell_angle_gamma 90.00
_space_group_name_H-M_alt 'P m -3 m'
_space_group_IT_number 221
_space_group_name_Hall '-P 4 2 3'
loop_
_atom_site_label
_atom_site_type_symbol
_atom_site_fract_x
_atom_site_fract_y
_atom_site_fract_z
_atom_site_occupancy
Nb1 Nb 0.0000 0.0000 0.0000 1
Ga1 Ga 0.0000 0.5000 0.5000 1
Pt1 Pt 0.5000 0.5000 0.5000 1
```

Computed properties:
Calculated formation energy: 0.39 eV/atom
Total moment: 3.19 μB/cell
Total DFT energy (no corrections): -150.4 eV for the cell shown

***

No. 4
CaGaAs2Br at its PBEsol-relaxed geometry, computed with meta-GGA SCAN.

Structure (CIF):
```
data_CaGaAs2Br
_cell_length_a 4.7783
_cell_length_b 4.7783
_cell_length_c 5.5815
_cell_angle_alpha 90.00
_cell_angle_beta 90.00
_cell_angle_gamma 90.00
_space_group_name_H-M_alt 'P 4/m m m'
_space_group_IT_number 123
_space_group_name_Hall '-P 4 2'
loop_
_atom_site_label
_atom_site_type_symbol
_atom_site_fract_x
_atom_site_fract_y
_atom_site_fract_z
_atom_site_occupancy
Ca1 Ca 0.0000 0.0000 0.0000 1
Ga1 Ga 0.5000 0.5000 0.5000 1
As1 As 0.0000 0.5000 0.5000 1
Br1 Br 0.5000 0.5000 0.0000 1
```

Computed properties:
Total moment: 0.00 μB/cell
Energy relative to the elements, uncorrected: -313 meV per atom
Total DFT energy (no corrections): -87.4 eV for the cell shown

***

No. 5
ZrBrCl2 at its PBEsol-relaxed geometry, computed with meta-GGA SCAN.

Structure (CIF):
```
data_ZrBrCl2
_cell_length_a 12.0781
_cell_length_b 3.2517
_cell_length_c 6.4376
_cell_angle_alpha 90.00
_cell_angle_beta 120.41
_cell_angle_gamma 90.00
_space_group_name_H-M_alt 'C 1 m 1'
_space_group_IT_number 8
loop_
_space_group_symop_operation_xyz
'x,y,z'
'x,-y,z'
'x+1/2,y+1/2,z'
'x+1/2,-y+1/2,z'
loop_
_atom_site_label
_atom_site_type_symbol
_atom_site_fract_x
_atom_site_fract_y
_atom_site_fract_z
_atom_site_occupancy
Zr1 Zr 0.0000 0.0000 0.0000 1
Br1 Br 0.1710 0.5000 0.3344 1
Cl1 Cl 0.0038 0.5000 0.7025 1
Cl2 Cl 0.3390 0.0000 0.9977 1
```

Computed properties:
Total moment: 0.00 μB/cell
Energy relative to the elements, uncorrected: -1743 meV per atom
Total DFT energy (no corrections): -146.2 eV for the cell shown

***

No. 6
LiMnAl2Cu at its PBEsol-relaxed geometry, computed with meta-GGA SCAN.

Structure (CIF):
```
data_LiMnAl2Cu
_cell_length_a 4.4659
_cell_length_b 4.4659
_cell_length_c 4.3309
_cell_angle_alpha 90.00
_cell_angle_beta 90.00
_cell_angle_gamma 90.00
_space_group_name_H-M_alt 'P 4/m m m'
_space_group_IT_number 123
_space_group_name_Hall '-P 4 2'
loop_
_atom_site_label
_atom_site_type_symbol
_atom_site_fract_x
_atom_site_fract_y
_atom_site_fract_z
_atom_site_occupancy
Li1 Li 0.0000 0.0000 0.0000 1
Mn1 Mn 0.5000 0.5000 0.0000 1
Al1 Al 0.0000 0.5000 0.5000 1
Cu1 Cu 0.0000 0.0000 0.5000 1
```

Computed properties:
Calculated formation energy: 0.19 eV/atom
Total moment: 4.36 μB/cell
Total DFT energy (no corrections): -50.4 eV for the cell shown

***

No. 7
BeInC3 at its PBEsol-relaxed geometry, computed with meta-GGA SCAN.

Structure (CIF):
```
data_BeInC3
_cell_length_a 4.2485
_cell_length_b 4.2485
_cell_length_c 4.2485
_cell_angle_alpha 90.00
_cell_angle_beta 90.00
_cell_angle_gamma 90.00
_space_group_name_H-M_alt 'P m -3 m'
_space_group_IT_number 221
_space_group_name_Hall '-P 4 2 3'
loop_
_atom_site_label
_atom_site_type_symbol
_atom_site_fract_x
_atom_site_fract_y
_atom_site_fract_z
_atom_site_occupancy
Be1 Be 0.0000 0.0000 0.0000 1
In1 In 0.5000 0.5000 0.5000 1
C1 C 0.0000 0.5000 0.5000 1
```

Computed properties:
Calculated formation energy: 3.60 eV/atom
Total moment: 0.00 μB/cell
Total DFT energy (no corrections): -50.1 eV for the cell shown

***

No. 8
SiRhBr2 at its PBEsol-relaxed geometry, computed with meta-GGA SCAN.

Structure (CIF):
```
data_SiRhBr2
_cell_length_a 5.1403
_cell_length_b 5.1403
_cell_length_c 5.9617
_cell_angle_alpha 90.00
_cell_angle_beta 90.00
_cell_angle_gamma 90.00
_space_group_name_H-M_alt 'I 4/m m m'
_space_group_IT_number 139
_space_group_name_Hall '-I 4 2'
loop_
_atom_site_label
_atom_site_type_symbol
_atom_site_fract_x
_atom_site_fract_y
_atom_site_fract_z
_atom_site_occupancy
Si1 Si 0.0000 0.0000 0.0000 1
Rh1 Rh 0.0000 0.0000 0.5000 1
Br1 Br 0.0000 0.5000 0.0000 1
```

Computed properties:
Total moment: 0.00 μB/cell
Energy relative to the elements, uncorrected: 499 meV per atom
Total DFT energy (no corrections): -161.4 eV for the cell shown

***

No. 9
NaTaCu3 at its PBEsol-relaxed geometry, computed with meta-GGA SCAN.

Structure (CIF):
```
data_NaTaCu3
_cell_length_a 4.2523
_cell_length_b 4.2523
_cell_length_c 4.2523
_cell_angle_alpha 90.00
_cell_angle_beta 90.00
_cell_angle_gamma 90.00
_space_group_name_H-M_alt 'P m -3 m'
_space_group_IT_number 221
_space_group_name_Hall '-P 4 2 3'
loop_
_atom_site_label
_atom_site_type_symbol
_atom_site_fract_x
_atom_site_fract_y
_atom_site_fract_z
_atom_site_occupancy
Na1 Na 0.0000 0.0000 0.0000 1
Ta1 Ta 0.5000 0.5000 0.5000 1
Cu1 Cu 0.0000 0.0000 0.5000 1
```

Computed properties:
Calculated formation energy: 1.50 eV/atom
Total moment: 1.52 μB/cell
Total DFT energy (no corrections): -108.9 eV for the cell shown

***

No. 10
LiNiOs at its PBEsol-relaxed geometry, computed with meta-GGA SCAN.

Structure (CIF):
```
data_LiNiOs
_cell_length_a 4.0571
_cell_length_b 4.0571
_cell_length_c 2.4618
_cell_angle_alpha 90.00
_cell_angle_beta 90.00
_cell_angle_gamma 120.00
_space_group_name_H-M_alt 'P 3 m 1'
_space_group_IT_number 156
loop_
_space_group_symop_operation_xyz
'x,y,z'
'-y,x-y,z'
'-x+y,-x,z'
'-y,-x,z'
'-x+y,y,z'
'x,x-y,z'
loop_
_atom_site_label
_atom_site_type_symbol
_atom_site_fract_x
_atom_site_fract_y
_atom_site_fract_z
_atom_site_occupancy
Li1 Li 0.0000 0.0000 0.0000 1
Ni1 Ni 0.6667 0.3333 0.0048 1
Os1 Os 0.3333 0.6667 0.5029 1
```

Computed properties:
Calculated formation energy: 0.25 eV/atom
Total moment: 1.45 μB/cell
Total DFT energy (no corrections): -89.7 eV for the cell shown

***

No. 11
Na2FeH8S2O12 at its PBEsol-relaxed geometry, computed with meta-GGA SCAN.

Structure (CIF):
```
data_Na2FeH8S2O12
_cell_length_a 5.4732
_cell_length_b 8.2283
_cell_length_c 11.0647
_cell_angle_alpha 90.00
_cell_angle_beta 99.68
_cell_angle_gamma 90.00
_space_group_name_H-M_alt 'P 1 21/c 1'
_space_group_IT_number 14
loop_
_space_group_symop_operation_xyz
'x,y,z'
'-x,-y,-z'
'-x,y+1/2,-z+1/2'
'x,-y+1/2,z+1/2'
loop_
_atom_site_label
_atom_site_type_symbol
_atom_site_fract_x
_atom_site_fract_y
_atom_site_fract_z
_atom_site_occupancy
Na1 Na 0.1147 0.0758 0.3630 1
Fe1 Fe 0.0000 0.0000 0.0000 1
H1 H 0.2244 0.6380 0.3423 1
H2 H 0.2381 0.0569 0.8147 1
H3 H 0.2451 0.7252 0.0084 1
H4 H 0.3360 0.7019 0.6391 1
S1 S 0.3834 0.2123 0.6364 1
O1 O 0.1272 0.5339 0.3341 1
O2 O 0.1832 0.7165 0.5765 1
O3 O 0.2221 0.0822 0.5779 1
O4 O 0.3208 0.1282 0.0767 1
O5 O 0.3499 0.6772 0.8713 1
O6 O 0.3655 0.2226 0.7704 1
```

Computed properties:
Total moment: 0.10 μB/cell
Total DFT energy (no corrections): -369.4 eV for the cell shown

***

No. 12
LuSnIr at its PBEsol-relaxed geometry, computed with meta-GGA SCAN.

Structure (CIF):
```
data_LuSnIr
_cell_length_a 7.4279
_cell_length_b 7.4279
_cell_length_c 3.7062
_cell_angle_alpha 90.00
_cell_angle_beta 90.00
_cell_angle_gamma 120.00
_space_group_name_H-M_alt 'P -6 2 m'
_space_group_IT_number 189
_space_group_name_Hall 'P -6 -2'
loop_
_atom_site_label
_atom_site_type_symbol
_atom_site_fract_x
_atom_site_fract_y
_atom_site_fract_z
_atom_site_occupancy
Lu1 Lu 0.0000 0.5979 0.0000 1
Sn1 Sn 0.0000 0.2660 0.5000 1
Ir1 Ir 0.0000 0.0000 0.0000 1
Ir2 Ir 0.3333 0.6667 0.5000 1
```

Computed properties:
Calculated formation energy: -1.01 eV/atom
Total moment: 0.00 μB/cell
Total DFT energy (no corrections): -496.1 eV for the cell shown

***

No. 13
BeAs2IrSe at its PBEsol-relaxed geometry, computed with meta-GGA SCAN.

Structure (CIF):
```
data_BeAs2IrSe
_cell_length_a 4.6058
_cell_length_b 4.6058
_cell_length_c 5.3466
_cell_angle_alpha 90.00
_cell_angle_beta 90.00
_cell_angle_gamma 90.00
_space_group_name_H-M_alt 'P 4/m m m'
_space_group_IT_number 123
_space_group_name_Hall '-P 4 2'
loop_
_atom_site_label
_atom_site_type_symbol
_atom_site_fract_x
_atom_site_fract_y
_atom_site_fract_z
_atom_site_occupancy
Be1 Be 0.0000 0.0000 0.0000 1
As1 As 0.0000 0.5000 0.5000 1
Ir1 Ir 0.5000 0.5000 0.5000 1
Se1 Se 0.5000 0.5000 0.0000 1
```

Computed properties:
Total moment: 0.00 μB/cell
Energy relative to the elements, uncorrected: 943 meV per atom
Total DFT energy (no corrections): -131.2 eV for the cell shown

***

No. 14
Li3AsAu at its PBEsol-relaxed geometry, computed with meta-GGA SCAN.

Structure (CIF):
```
data_Li3AsAu
_cell_length_a 4.6475
_cell_length_b 4.6475
_cell_length_c 4.6475
_cell_angle_alpha 90.00
_cell_angle_beta 90.00
_cell_angle_gamma 90.00
_space_group_name_H-M_alt 'P m -3 m'
_space_group_IT_number 221
_space_group_name_Hall '-P 4 2 3'
loop_
_atom_site_label
_atom_site_type_symbol
_atom_site_fract_x
_atom_site_fract_y
_atom_site_fract_z
_atom_site_occupancy
Li1 Li 0.0000 0.0000 0.5000 1
As1 As 0.5000 0.5000 0.5000 1
Au1 Au 0.0000 0.0000 0.0000 1
```

Computed properties:
Calculated formation energy: -0.15 eV/atom
Total moment: 0.01 μB/cell
Total DFT energy (no corrections): -97.3 eV for the cell shown

***

No. 15
CaMnF6 at its PBEsol-relaxed geometry, computed with meta-GGA SCAN.

Structure (CIF):
```
data_CaMnF6
_cell_length_a 5.2270
_cell_length_b 5.2270
_cell_length_c 14.1175
_cell_angle_alpha 90.00
_cell_angle_beta 90.00
_cell_angle_gamma 120.00
_space_group_name_H-M_alt 'R -3'
_space_group_IT_number 148
_space_group_name_Hall '-R 3'
loop_
_atom_site_label
_atom_site_type_symbol
_atom_site_fract_x
_atom_site_fract_y
_atom_site_fract_z
_atom_site_occupancy
Ca1 Ca 0.0000 0.0000 0.0000 1
Mn1 Mn 0.0000 0.0000 0.5000 1
F1 F 0.0143 0.2891 0.5743 1
```

Computed properties:
Total moment: 9.00 μB/cell
Energy relative to the elements, uncorrected: -3268 meV per atom
Total DFT energy (no corrections): -225.9 eV for the cell shown

***

No. 16
CuAsSCl2 at its PBEsol-relaxed geometry, computed with meta-GGA SCAN.

Structure (CIF):
```
data_CuAsSCl2
_cell_length_a 4.7842
_cell_length_b 4.7842
_cell_length_c 4.8659
_cell_angle_alpha 90.00
_cell_angle_beta 90.00
_cell_angle_gamma 90.00
_space_group_name_H-M_alt 'P 4/m m m'
_space_group_IT_number 123
_space_group_name_Hall '-P 4 2'
loop_
_atom_site_label
_atom_site_type_symbol
_atom_site_fract_x
_atom_site_fract_y
_atom_site_fract_z
_atom_site_occupancy
Cu1 Cu 0.0000 0.0000 0.0000 1
As1 As 0.5000 0.5000 0.5000 1
S1 S 0.5000 0.5000 0.0000 1
Cl1 Cl 0.0000 0.5000 0.5000 1
```

Computed properties:
Total moment: 0.00 μB/cell
Energy relative to the elements, uncorrected: 256 meV per atom
Total DFT energy (no corrections): -59.7 eV for the cell shown

***

No. 17
TaZnGe3 at its PBEsol-relaxed geometry, computed with meta-GGA SCAN.

Structure (CIF):
```
data_TaZnGe3
_cell_length_a 4.6213
_cell_length_b 4.6213
_cell_length_c 4.6213
_cell_angle_alpha 90.00
_cell_angle_beta 90.00
_cell_angle_gamma 90.00
_space_group_name_H-M_alt 'P m -3 m'
_space_group_IT_number 221
_space_group_name_Hall '-P 4 2 3'
loop_
_atom_site_label
_atom_site_type_symbol
_atom_site_fract_x
_atom_site_fract_y
_atom_site_fract_z
_atom_site_occupancy
Ta1 Ta 0.0000 0.0000 0.0000 1
Zn1 Zn 0.5000 0.5000 0.5000 1
Ge1 Ge 0.0000 0.5000 0.5000 1
```

Computed properties:
Calculated formation energy: 1.22 eV/atom
Total moment: 0.00 μB/cell
Total DFT energy (no corrections): -131.2 eV for the cell shown

***

No. 18
SiNi2Hg at its PBEsol-relaxed geometry, computed with meta-GGA SCAN.

Structure (CIF):
```
data_SiNi2Hg
_cell_length_a 3.6192
_cell_length_b 4.4183
_cell_length_c 6.7318
_cell_angle_alpha 90.00
_cell_angle_beta 90.00
_cell_angle_gamma 90.00
_space_group_name_H-M_alt 'I m m m'
_space_group_IT_number 71
_space_group_name_Hall '-I 2 2'
loop_
_atom_site_label
_atom_site_type_symbol
_atom_site_fract_x
_atom_site_fract_y
_atom_site_fract_z
_atom_site_occupancy
Si1 Si 0.0000 0.0000 0.0000 1
Ni1 Ni 0.0000 0.5000 0.2932 1
Hg1 Hg 0.0000 0.0000 0.5000 1
```

Computed properties:
Total moment: 0.00 μB/cell
Energy relative to the elements, uncorrected: 68 meV per atom
Total DFT energy (no corrections): -220.5 eV for the cell shown

***

No. 19
ScMoCl2 at its PBEsol-relaxed geometry, computed with meta-GGA SCAN.

Structure (CIF):
```
data_ScMoCl2
_cell_length_a 3.0401
_cell_length_b 3.0401
_cell_length_c 25.3522
_cell_angle_alpha 90.00
_cell_angle_beta 90.00
_cell_angle_gamma 120.00
_space_group_name_H-M_alt 'R -3 m'
_space_group_IT_number 166
_space_group_name_Hall '-R 3 2"'
loop_
_atom_site_label
_atom_site_type_symbol
_atom_site_fract_x
_atom_site_fract_y
_atom_site_fract_z
_atom_site_occupancy
Sc1 Sc 0.0000 0.0000 0.0000 1
Mo1 Mo 0.0000 0.0000 0.5000 1
Cl1 Cl 0.0000 0.0000 0.4057 1
```

Computed properties:
Total moment: 0.00 μB/cell
Energy relative to the elements, uncorrected: -538 meV per atom
Total DFT energy (no corrections): -201.7 eV for the cell shown

***

No. 20
PRu3 at its PBEsol-relaxed geometry, computed with meta-GGA SCAN.

Structure (CIF):
```
data_PRu3
_cell_length_a 2.8118
_cell_length_b 4.2352
_cell_length_c 8.5918
_cell_angle_alpha 90.00
_cell_angle_beta 90.00
_cell_angle_gamma 90.00
_space_group_name_H-M_alt 'I m m m'
_space_group_IT_number 71
_space_group_name_Hall '-I 2 2'
loop_
_atom_site_label
_atom_site_type_symbol
_atom_site_fract_x
_atom_site_fract_y
_atom_site_fract_z
_atom_site_occupancy
P1 P 0.0000 0.0000 0.0000 1
Ru1 Ru 0.0000 0.0000 0.5000 1
Ru2 Ru 0.0000 0.5000 0.2853 1
```

Computed properties:
Calculated formation energy: -0.18 eV/atom
Total moment: 0.00 μB/cell
Total DFT energy (no corrections): -231.2 eV for the cell shown